Record 1
TbYSiPd: relaxed, PBE-GGA.

E_form (uncorrected): -0.842 eV per atom
energy above the most stable polymorph in this dataset: 0 meV/atom
magnetization: 0.00 μB per cell

```
data_TbYSiPd
_chemical_formula_sum 'Tb2 Y2 Si2 Pd2'
_space_group_name_H-M_alt 'A m m 2'
_space_group_IT_number 38
_cell_length_a 4.2415
_cell_length_b 3.9811
_cell_length_c 10.7727
_cell_angle_alpha 90.00
_cell_angle_beta 90.00
_cell_angle_gamma 90.00
loop_
_space_group_symop_operation_xyz
'x,y,z'
'-x,-y,z'
'-x,y,z'
'x,-y,z'
'x,y+1/2,z+1/2'
'-x,-y+1/2,z+1/2'
'-x,y+1/2,z+1/2'
'x,-y+1/2,z+1/2'
loop_
_atom_site_label
_atom_site_type_symbol
_atom_site_fract_x
_atom_site_fract_y
_atom_site_fract_z
Tb1 Tb 0.0000 0.0000 0.0000
Y1 Y 0.5000 0.0000 0.2805
Si1 Si 0.5000 0.0000 0.5623
Pd1 Pd 0.0000 0.0000 0.7136
```



Record 2
Tb3ZnSi6Pd2: relaxed, PBE-GGA.

E_form (uncorrected): -0.406 eV per atom
magnetization: 0.00 μB per cell

```
data_Tb3ZnSi6Pd2
_chemical_formula_sum 'Tb3 Zn1 Si6 Pd2'
_space_group_name_H-M_alt 'P -3 m 1'
_space_group_IT_number 164
_space_group_name_Hall '-P 3 2"'
_cell_length_a 5.6378
_cell_length_b 5.6378
_cell_length_c 8.2389
_cell_angle_alpha 90.00
_cell_angle_beta 90.00
_cell_angle_gamma 120.00
loop_
_atom_site_label
_atom_site_type_symbol
_atom_site_fract_x
_atom_site_fract_y
_atom_site_fract_z
Tb1 Tb 0.0000 0.0000 0.0000
Tb2 Tb 0.3333 0.6667 0.6040
Zn1 Zn 0.0000 0.0000 0.5000
Si1 Si 0.1890 0.3779 0.2749
Pd1 Pd 0.3333 0.6667 0.0234
```



Record 3
Tb3ZnSi2Pd9: relaxed, PBE-GGA.

E_form (uncorrected): -0.647 eV per atom
magnetization: 0.00 μB per cell

```
data_Tb3ZnSi2Pd9
_chemical_formula_sum 'Tb3 Zn1 Si2 Pd9'
_space_group_name_H-M_alt 'P -3 m 1'
_space_group_IT_number 164
_space_group_name_Hall '-P 3 2"'
_cell_length_a 5.7122
_cell_length_b 5.7122
_cell_length_c 10.4931
_cell_angle_alpha 90.00
_cell_angle_beta 90.00
_cell_angle_gamma 120.00
loop_
_atom_site_label
_atom_site_type_symbol
_atom_site_fract_x
_atom_site_fract_y
_atom_site_fract_z
Tb1 Tb 0.0000 0.0000 0.0000
Tb2 Tb 0.3333 0.6667 0.5926
Zn1 Zn 0.0000 0.0000 0.5000
Si1 Si 0.3333 0.6667 0.1618
Pd1 Pd 0.0000 0.5000 0.0000
Pd2 Pd 0.1639 0.3279 0.3157
```



Record 4
Si2Tc2Pd: relaxed, PBE-GGA.

E_form (uncorrected): -0.177 eV per atom
energy above the most stable polymorph in this dataset: 154 meV/atom
magnetization: 0.00 μB per cell

```
data_Si2Tc2Pd
_chemical_formula_sum 'Si4 Tc4 Pd2'
_space_group_name_H-M_alt 'P 4/m b m'
_space_group_IT_number 127
_space_group_name_Hall '-P 4 2ab'
_cell_length_a 7.0807
_cell_length_b 7.0807
_cell_length_c 2.8773
_cell_angle_alpha 90.00
_cell_angle_beta 90.00
_cell_angle_gamma 90.00
loop_
_atom_site_label
_atom_site_type_symbol
_atom_site_fract_x
_atom_site_fract_y
_atom_site_fract_z
Si1 Si 0.1591 0.3409 0.0000
Tc1 Tc 0.1359 0.6359 0.5000
Pd1 Pd 0.0000 0.0000 0.5000
```